1.
DFT (PBE-GGA) results for Y2ZnSnN after structural relaxation.

Calculated values
volume = 20.2 A^3/atom
M_tot = 0.0 μB/f.u.
energy relative to the elements, uncorrected = -17.75 kcal/mol of atoms

Lattice parameters (Å, degrees): 4.817 4.817 4.362 90.00 90.00 90.00
Space group P4/mmm (No. 123)
Inequivalent atoms, fractional coordinates:
Y  0.000  0.500  0.000 x2
Zn  0.000  0.000  0.500 x1
Sn  0.500  0.500  0.500 x1
N  0.000  0.000  0.000 x1

2.
DFT (PBE-GGA) results for AlSnRu after structural relaxation.

Calculated values
volume = 16.9 A^3/atom
energy relative to the elements = -0.30 eV per atom
M_tot = 0.0 μB/f.u.

Lattice parameters (Å, degrees): 7.2635 7.2635 3.3384 90.00 90.00 120.00
Space group P-62m (No. 189)
Inequivalent atoms, fractional coordinates:
Al  0.0000  0.2703  0.0000 x3
Sn  0.0000  0.6199  0.5000 x3
Ru  0.0000  0.0000  0.5000 x1
Ru  0.3333  0.6667  0.0000 x2

no.,total energy (eV/cell)
1,-30.38
2,-53.77